A plane-wave DFT calculation with PBE+U was carried out for crystalline AlCu3W4O12 at its relaxed geometry.

a b c (Å): 6.6191 6.6864 6.7060
angles (deg): 109.51 108.76 109.10
Closest atoms and distances in Å follow each position.
Atoms (fractional coordinates):
Cu: 0.5000 0.0000 0.5000  4 O 2.00-2.22
Cu: 0.5000 0.5000 0.0000  4 O 2.07-2.15
Cu: 0.0000 0.5000 0.5000  4 O 2.04-2.11
O: 0.1882 0.8826 0.6972  2 W 2.04-2.05, 1 Cu 2.11
O: 0.4891 0.3187 0.1957  2 W 1.96-2.14, 1 Cu 2.07
O: 0.8209 0.5141 0.6978  1 Cu 2.04, 2 W 2.04-2.06
O: 0.8914 0.7147 0.1938  2 W 1.98-2.07, 1 Cu 2.15
O: 0.7118 0.2070 0.9012  2 W 1.95-2.06
O: 0.1086 0.2853 0.8062  2 W 1.98-2.07, 1 Cu 2.15
O: 0.6921 0.8240 0.5172  1 Cu 2.00, 2 W 2.05-2.06
O: 0.5109 0.6813 0.8043  2 W 1.96-2.14, 1 Cu 2.07
O: 0.3079 0.1760 0.4828  1 Cu 2.00, 2 W 2.05-2.06
O: 0.2882 0.7930 0.0988  2 W 1.95-2.06
O: 0.1791 0.4859 0.3022  1 Cu 2.04, 2 W 2.04-2.06
O: 0.8118 0.1174 0.3028  2 W 2.04-2.05, 1 Cu 2.11
W: 0.5000 0.0000 0.0000  6 O 2.04-2.14
W: 0.0000 0.5000 0.0000  6 O 1.95-2.07
W: 0.5000 0.5000 0.5000  6 O 1.96-2.06
W: 0.0000 0.0000 0.5000  6 O 1.98-2.05
Al: 0.0000 0.0000 0.0000  12 O 2.68-2.77

space-group type	P-1 (2)
magnetization	4.16	μB/cell
calculated density	8.22	g cm⁻³
total DFT energy (no corrections)	-6.6126	eV/atom
volume	231.4	Å³/cell